<i>
# YP2SN (PBE, optimized geometry)
data_YP2SN
_space_group_name_H-M_alt 'P 4/m m m'
_space_group_IT_number 123
_space_group_name_Hall '-P 4 2'
_cell_length_a 5.435
_cell_length_b 5.435
_cell_length_c 5.231
_cell_angle_alpha 90.00
_cell_angle_beta 90.00
_cell_angle_gamma 90.00
loop_
_atom_site_label
_atom_site_type_symbol
_atom_site_fract_x
_atom_site_fract_y
_atom_site_fract_z
Y1 Y 0.000 0.000 0.000
P1 P 0.000 0.500 0.000
S1 S 0.000 0.000 0.500
N1 N 0.500 0.500 0.500
# M_tot	4.27	μB per cell
# DOS at the Fermi energy	1.22	states/eV per atom

<ii>
# YP2SN (PBE, optimized geometry)
data_YP2SN
_space_group_name_H-M_alt 'P 4/m m m'
_space_group_IT_number 123
_space_group_name_Hall '-P 4 2'
_cell_length_a 4.157
_cell_length_b 4.157
_cell_length_c 4.432
_cell_angle_alpha 90.00
_cell_angle_beta 90.00
_cell_angle_gamma 90.00
loop_
_atom_site_label
_atom_site_type_symbol
_atom_site_fract_x
_atom_site_fract_y
_atom_site_fract_z
Y1 Y 0.000 0.000 0.000
P1 P 0.000 0.500 0.500
S1 S 0.500 0.500 0.000
N1 N 0.500 0.500 0.500
# M_tot	0.00	μB per cell
# DOS at the Fermi energy	0.23	states/eV per atom

Relative to the most stable one, in meV/atom, the structures come out at <i> 1351; <ii> 0.

<i>
# YPS2N (PBE, optimized geometry)
data_YPS2N
_space_group_name_H-M_alt 'P 4/m m m'
_space_group_IT_number 123
_space_group_name_Hall '-P 4 2'
_cell_length_a 4.410
_cell_length_b 4.410
_cell_length_c 4.004
_cell_angle_alpha 90.00
_cell_angle_beta 90.00
_cell_angle_gamma 90.00
loop_
_atom_site_label
_atom_site_type_symbol
_atom_site_fract_x
_atom_site_fract_y
_atom_site_fract_z
Y1 Y 0.000 0.000 0.000
P1 P 0.500 0.500 0.000
S1 S 0.000 0.500 0.500
N1 N 0.500 0.500 0.500
# M_tot	0.00	μB per cell
# DOS at the Fermi energy	0.53	states/eV per atom

<ii>
# YPS2N (PBE, optimized geometry)
data_YPS2N
_space_group_name_H-M_alt 'P 4/m m m'
_space_group_IT_number 123
_space_group_name_Hall '-P 4 2'
_cell_length_a 4.728
_cell_length_b 4.728
_cell_length_c 3.508
_cell_angle_alpha 90.00
_cell_angle_beta 90.00
_cell_angle_gamma 90.00
loop_
_atom_site_label
_atom_site_type_symbol
_atom_site_fract_x
_atom_site_fract_y
_atom_site_fract_z
Y1 Y 0.000 0.000 0.000
P1 P 0.500 0.500 0.500
S1 S 0.000 0.500 0.500
N1 N 0.500 0.500 0.000
# M_tot	0.00	μB per cell
# DOS at the Fermi energy	0.40	states/eV per atom

<iii>
# YPS2N (PBE, optimized geometry)
data_YPS2N
_space_group_name_H-M_alt 'P 4/m m m'
_space_group_IT_number 123
_space_group_name_Hall '-P 4 2'
_cell_length_a 5.292
_cell_length_b 5.292
_cell_length_c 4.130
_cell_angle_alpha 90.00
_cell_angle_beta 90.00
_cell_angle_gamma 90.00
loop_
_atom_site_label
_atom_site_type_symbol
_atom_site_fract_x
_atom_site_fract_y
_atom_site_fract_z
Y1 Y 0.000 0.000 0.000
P1 P 0.500 0.500 0.500
S1 S 0.000 0.500 0.000
N1 N 0.000 0.000 0.500
# M_tot	0.59	μB per cell
# DOS at the Fermi energy	1.40	states/eV per atom

Relative to the most stable one, in meV/atom, the structures come out at <i> 408; <ii> 0; <iii> 1192.

<i>
# ZnPS2N (PBE, optimized geometry)
data_ZnPS2N
_space_group_name_H-M_alt 'P 4/m m m'
_space_group_IT_number 123
_space_group_name_Hall '-P 4 2'
_cell_length_a 4.800
_cell_length_b 4.800
_cell_length_c 3.711
_cell_angle_alpha 90.00
_cell_angle_beta 90.00
_cell_angle_gamma 90.00
loop_
_atom_site_label
_atom_site_type_symbol
_atom_site_fract_x
_atom_site_fract_y
_atom_site_fract_z
Zn1 Zn 0.000 0.000 0.000
P1 P 0.500 0.500 0.500
S1 S 0.000 0.500 0.000
N1 N 0.000 0.000 0.500
# M_tot	1.96	μB per cell
# DOS at the Fermi energy	0.67	states/eV per atom

<ii>
# ZnPS2N (PBE, optimized geometry)
data_ZnPS2N
_space_group_name_H-M_alt 'P 4/m m m'
_space_group_IT_number 123
_space_group_name_Hall '-P 4 2'
_cell_length_a 4.435
_cell_length_b 4.435
_cell_length_c 3.725
_cell_angle_alpha 90.00
_cell_angle_beta 90.00
_cell_angle_gamma 90.00
loop_
_atom_site_label
_atom_site_type_symbol
_atom_site_fract_x
_atom_site_fract_y
_atom_site_fract_z
Zn1 Zn 0.000 0.000 0.000
P1 P 0.500 0.500 0.000
S1 S 0.000 0.500 0.500
N1 N 0.500 0.500 0.500
# M_tot	0.00	μB per cell
# DOS at the Fermi energy	0.50	states/eV per atom

Relative to the most stable one, in meV/atom, the structures come out at <i> 231; <ii> 0.

<i>
# ZnPS2N (PBE, optimized geometry)
data_ZnPS2N
_space_group_name_H-M_alt 'P 4/m m m'
_space_group_IT_number 123
_space_group_name_Hall '-P 4 2'
_cell_length_a 4.643
_cell_length_b 4.643
_cell_length_c 4.866
_cell_angle_alpha 90.00
_cell_angle_beta 90.00
_cell_angle_gamma 90.00
loop_
_atom_site_label
_atom_site_type_symbol
_atom_site_fract_x
_atom_site_fract_y
_atom_site_fract_z
Zn1 Zn 0.000 0.000 0.000
P1 P 0.000 0.000 0.500
S1 S 0.000 0.500 0.000
N1 N 0.500 0.500 0.500
# M_tot	1.89	μB per cell
# DOS at the Fermi energy	1.00	states/eV per atom

<ii>
# ZnPS2N (PBE, optimized geometry)
data_ZnPS2N
_space_group_name_H-M_alt 'P 4/m m m'
_space_group_IT_number 123
_space_group_name_Hall '-P 4 2'
_cell_length_a 4.700
_cell_length_b 4.700
_cell_length_c 3.258
_cell_angle_alpha 90.00
_cell_angle_beta 90.00
_cell_angle_gamma 90.00
loop_
_atom_site_label
_atom_site_type_symbol
_atom_site_fract_x
_atom_site_fract_y
_atom_site_fract_z
Zn1 Zn 0.000 0.000 0.000
P1 P 0.500 0.500 0.500
S1 S 0.000 0.500 0.500
N1 N 0.500 0.500 0.000
# M_tot	0.00	μB per cell
# DOS at the Fermi energy	0.24	states/eV per atom

Relative to the most stable one, in meV/atom, the structures come out at <i> 1329; <ii> 0.

<i>
# ZrP2SN (PBE, optimized geometry)
data_ZrP2SN
_space_group_name_H-M_alt 'P 4/m m m'
_space_group_IT_number 123
_space_group_name_Hall '-P 4 2'
_cell_length_a 5.127
_cell_length_b 5.127
_cell_length_c 4.942
_cell_angle_alpha 90.00
_cell_angle_beta 90.00
_cell_angle_gamma 90.00
loop_
_atom_site_label
_atom_site_type_symbol
_atom_site_fract_x
_atom_site_fract_y
_atom_site_fract_z
Zr1 Zr 0.000 0.000 0.000
P1 P 0.000 0.500 0.000
S1 S 0.000 0.000 0.500
N1 N 0.500 0.500 0.500
# M_tot	1.28	μB per cell
# DOS at the Fermi energy	0.75	states/eV per atom

<ii>
# ZrP2SN (PBE, optimized geometry)
data_ZrP2SN
_space_group_name_H-M_alt 'P 4/m m m'
_space_group_IT_number 123
_space_group_name_Hall '-P 4 2'
_cell_length_a 4.073
_cell_length_b 4.073
_cell_length_c 4.257
_cell_angle_alpha 90.00
_cell_angle_beta 90.00
_cell_angle_gamma 90.00
loop_
_atom_site_label
_atom_site_type_symbol
_atom_site_fract_x
_atom_site_fract_y
_atom_site_fract_z
Zr1 Zr 0.000 0.000 0.000
P1 P 0.000 0.500 0.500
S1 S 0.500 0.500 0.000
N1 N 0.500 0.500 0.500
# M_tot	0.00	μB per cell
# DOS at the Fermi energy	0.54	states/eV per atom

Relative to the most stable one, in meV/atom, the structures come out at <i> 952; <ii> 0.

<i>
# ZrPS2N (PBE, optimized geometry)
data_ZrPS2N
_space_group_name_H-M_alt 'P 4/m m m'
_space_group_IT_number 123
_space_group_name_Hall '-P 4 2'
_cell_length_a 4.212
_cell_length_b 4.212
_cell_length_c 4.038
_cell_angle_alpha 90.00
_cell_angle_beta 90.00
_cell_angle_gamma 90.00
loop_
_atom_site_label
_atom_site_type_symbol
_atom_site_fract_x
_atom_site_fract_y
_atom_site_fract_z
Zr1 Zr 0.000 0.000 0.000
P1 P 0.500 0.500 0.000
S1 S 0.000 0.500 0.500
N1 N 0.500 0.500 0.500
# M_tot	0.00	μB per cell
# DOS at the Fermi energy	0.32	states/eV per atom

<ii>
# ZrPS2N (PBE, optimized geometry)
data_ZrPS2N
_space_group_name_H-M_alt 'P 4/m m m'
_space_group_IT_number 123
_space_group_name_Hall '-P 4 2'
_cell_length_a 4.964
_cell_length_b 4.964
_cell_length_c 5.248
_cell_angle_alpha 90.00
_cell_angle_beta 90.00
_cell_angle_gamma 90.00
loop_
_atom_site_label
_atom_site_type_symbol
_atom_site_fract_x
_atom_site_fract_y
_atom_site_fract_z
Zr1 Zr 0.000 0.000 0.000
P1 P 0.000 0.000 0.500
S1 S 0.000 0.500 0.000
N1 N 0.500 0.500 0.500
# M_tot	1.59	μB per cell
# DOS at the Fermi energy	0.38	states/eV per atom

Relative to the most stable one, in meV/atom, the structures come out at <i> 0; <ii> 642.